Record 1
The following is a GGA-PBE calculation of crystalline Er4Tm at its relaxed geometry, from Alexandria.

The structure in POSCAR format:
```
Er4Tm
1.0
3.026 -1.750 0.000
3.026 1.750 0.000
-1.978 0.000 14.228
Er Tm
4 1
Direct
0.101 0.101 0.300
0.300 0.300 0.900
0.700 0.700 0.100
0.899 0.899 0.700
0.500 0.500 0.500
```

energy relative to the lowest polymorph listed for this composition: 0 meV/atom
total moment: 0.00 μB per formula unit
calculated formation energy: 12.5 kJ/mol of formula units
volume: 30.128 Å³/atom


Record 2
The following is a GGA-PBE calculation of crystalline Tl3Re at its relaxed geometry, from Alexandria.

The structure in POSCAR format:
```
Tl3Re
1.0
5.217 -6.116 0.000
5.217 6.116 0.000
0.000 0.000 3.483
Tl Re
6 2
Direct
0.145 0.385 0.750
0.185 0.815 0.750
0.385 0.145 0.250
0.615 0.855 0.750
0.815 0.185 0.250
0.855 0.615 0.250
0.435 0.565 0.250
0.565 0.435 0.750
```

energy relative to the lowest polymorph listed for this composition: 0 meV/atom
total moment: 0.00 μB per formula unit
calculated formation energy: 205.8 kJ/mol of formula units
volume: 27.785 Å³/atom


Record 3
The following is a GGA-PBE calculation of crystalline Pr6NdY2Tm3 at its relaxed geometry, from Alexandria.

The structure in POSCAR format:
```
Pr6NdY2Tm3
1.0
3.157 -5.467 0.000
3.157 5.467 0.000
-2.101 0.000 11.718
Pr Nd Y Tm
6 1 2 3
Direct
0.085 0.418 0.754
0.249 0.249 0.246
0.418 0.085 0.754
0.582 0.915 0.246
0.751 0.751 0.754
0.915 0.582 0.246
0.000 0.000 0.500
0.333 0.667 0.500
0.667 0.333 0.500
0.167 0.833 0.000
0.500 0.500 0.000
0.833 0.167 0.000
```

total moment: 0.00 μB per formula unit
calculated formation energy: 15.7 kJ/mol of formula units
volume: 33.705 Å³/atom


Record 4
The following is a GGA-PBE calculation of crystalline ScSb2PdI at its relaxed geometry, from Alexandria.

The structure in POSCAR format:
```
ScSb2PdI
1.0
5.209 0.000 0.000
0.000 5.209 0.000
0.000 0.000 5.456
Sc Sb Pd I
1 2 1 1
Direct
0.000 0.000 0.000
0.000 0.500 0.500
0.500 0.000 0.500
0.500 0.500 0.500
0.500 0.500 0.000
```

raw formation energy: 18.2 kJ/mol of atoms
energy relative to the lowest polymorph listed for this composition: 0 meV/atom
total moment: 0.00 μB per formula unit
volume: 29.610 Å³/atom


Record 5
The following is a GGA-PBE calculation of crystalline Tb3In5Ni2 at its relaxed geometry, from Alexandria.

The structure in POSCAR format:
```
Tb3In5Ni2
1.0
10.086 0.000 0.000
0.000 10.086 0.000
0.000 0.000 4.361
Tb In Ni
6 10 4
Direct
0.000 0.000 0.000
0.172 0.328 0.000
0.328 0.828 0.000
0.500 0.500 0.000
0.672 0.172 0.000
0.828 0.672 0.000
0.000 0.500 0.500
0.067 0.784 0.500
0.216 0.067 0.500
0.284 0.567 0.500
0.433 0.284 0.500
0.500 0.000 0.500
0.567 0.716 0.500
0.716 0.433 0.500
0.784 0.933 0.500
0.933 0.216 0.500
0.127 0.627 0.000
0.373 0.127 0.000
0.627 0.873 0.000
0.873 0.373 0.000
```

total moment: 0.00 μB per formula unit
calculated formation energy: -414.4 kJ/mol of formula units
volume: 22.185 Å³/atom


Record 6
The following is a GGA-PBE calculation of crystalline CrCl2 at its relaxed geometry, from Alexandria.

The structure in POSCAR format:
```
CrCl2
1.0
6.304 0.000 0.000
0.000 6.712 0.000
0.000 0.000 3.493
Cr Cl
2 4
Direct
0.000 0.000 0.000
0.500 0.500 0.500
0.198 0.155 0.500
0.302 0.655 0.000
0.698 0.345 0.000
0.802 0.845 0.500
```

raw formation energy: -90.3 kJ/mol of atoms
energy relative to the lowest polymorph listed for this composition: 0 meV/atom
total moment: 4.00 μB per formula unit
volume: 24.635 Å³/atom


Record 7
The following is a GGA-PBE calculation of crystalline Li4Cd3Pd at its relaxed geometry, from Alexandria.

The structure in POSCAR format:
```
Li4Cd3Pd
1.0
2.315 -10.921 0.000
2.315 10.921 0.000
0.000 0.000 2.973
Li Cd Pd
4 3 1
Direct
0.096 0.904 0.000
0.218 0.782 0.000
0.782 0.218 0.000
0.904 0.096 0.000
0.338 0.662 0.500
0.500 0.500 0.000
0.662 0.338 0.500
0.000 0.000 0.500
```

energy relative to the lowest polymorph listed for this composition: 48 meV/atom
total moment: 0.00 μB per formula unit
calculated formation energy: -179.3 kJ/mol of formula units
volume: 18.791 Å³/atom


Record 8
The following is a GGA-PBE calculation of crystalline YSb2Ir at its relaxed geometry, from Alexandria.

The structure in POSCAR format:
```
YSb2Ir
1.0
-2.150 2.150 4.959
2.150 -2.150 4.959
2.150 2.150 -4.959
Y Sb Ir
1 2 1
Direct
0.000 0.000 0.000
0.250 0.750 0.500
0.750 0.250 0.500
0.500 0.500 0.000
```

raw formation energy: -10.1 kJ/mol of atoms
total moment: 0.00 μB per formula unit
volume: 22.914 Å³/atom


Record 9
The following is a GGA-PBE calculation of crystalline Ca12InAu5 at its relaxed geometry, from Alexandria.

The structure in POSCAR format:
```
Ca12InAu5
1.0
-4.829 5.060 5.603
4.829 -5.060 5.603
4.829 5.060 -5.603
Ca In Au
12 1 5
Direct
0.052 0.242 0.811
0.177 0.285 0.462
0.177 0.715 0.893
0.340 0.032 0.692
0.340 0.649 0.308
0.431 0.242 0.189
0.569 0.758 0.811
0.660 0.351 0.692
0.660 0.968 0.308
0.823 0.285 0.107
0.823 0.715 0.538
0.948 0.758 0.189
0.500 0.500 0.000
0.000 0.000 0.000
0.133 0.633 0.500
0.323 0.000 0.323
0.677 0.000 0.677
0.867 0.367 0.500
```

total moment: 0.00 μB per formula unit
calculated formation energy: -960.5 kJ/mol of formula units
volume: 30.427 Å³/atom


Record 10
The following is a GGA-PBE calculation of crystalline Nb2Cu2Ni at its relaxed geometry, from Alexandria.

The structure in POSCAR format:
```
Nb2Cu2Ni
1.0
6.384 0.000 0.000
0.000 6.384 0.000
0.000 0.000 3.613
Nb Cu Ni
4 4 2
Direct
0.171 0.329 0.000
0.329 0.829 0.000
0.671 0.171 0.000
0.829 0.671 0.000
0.133 0.633 0.500
0.367 0.133 0.500
0.633 0.867 0.500
0.867 0.367 0.500
0.000 0.000 0.500
0.500 0.500 0.500
```

total moment: 0.00 μB per formula unit
calculated formation energy: 89.7 kJ/mol of formula units
volume: 14.726 Å³/atom


Result set for density: 9.2, 11.9, 6.9, 5.9, 8.7, 2.8, 5.2, 9.5, 4.8, 8.4 Mg/m³, one per record in the order listed.